No. 1
Material: Rb2P2Pd2Au
Method: DFT, PBE
State: optimized geometry

Cell and atoms, written as POSCAR:
```
Rb2P2Pd2Au
1.0
4.474 0.000 0.000
2.237 6.330 -0.032
2.237 1.332 6.965
Rb Au P Pd
2 1 2 2
Cartesian
4.474 5.423 2.321
4.474 2.240 4.611
0.000 0.000 0.000
4.474 5.567 5.809
4.474 2.095 1.124
6.711 4.901 6.207
2.237 2.761 0.726
```

Computed properties:
* VASP energy: -4.260 eV/atom



No. 2
Material: Sm2P3Pd4Au
Method: DFT, PBE
State: optimized geometry

Cell and atoms, written as POSCAR:
```
Sm2P3Pd4Au
1.0
-0.609 -4.021 -0.470
-0.365 -0.418 4.056
-10.660 1.707 -0.784
Sm P Au Pd
2 3 1 4
Cartesian
-8.322 1.094 1.429
-2.825 -1.607 -0.420
-1.563 0.012 1.926
-5.330 0.854 -0.392
-9.584 -0.524 -0.918
-5.817 -1.366 1.401
-3.821 0.374 1.760
-7.326 -0.886 -0.751
-0.487 -2.220 1.793
0.000 0.000 0.000
```

Computed properties:
* VASP energy: -5.771 eV/atom



No. 3
Material: Tc2PPdAu
Method: DFT, PBE
State: optimized geometry

Cell and atoms, written as POSCAR:
```
Tc2PPdAu
1.0
-0.868 4.562 1.774
-2.253 -1.951 3.915
4.333 -0.121 2.434
Pd P Tc Au
1 1 2 1
Cartesian
-1.127 -0.975 1.957
0.606 1.245 4.061
2.167 -0.061 1.217
-0.434 2.281 0.887
0.000 0.000 0.000
```

Computed properties:
* VASP energy: -4.888 eV/atom



No. 4
Material: ThP2Pd7Au
Method: DFT, PBE
State: optimized geometry

Cell and atoms, written as POSCAR:
```
ThP2Pd7Au
1.0
-2.756 -0.103 2.849
-1.108 -3.612 -1.203
9.458 -5.879 8.935
Pd Th P Au
7 1 2 1
Cartesian
-1.932 -1.858 0.823
0.975 -2.756 0.843
0.151 -1.002 2.869
3.660 -5.333 6.106
6.552 -4.980 8.915
7.375 -6.734 6.889
1.934 -4.260 4.475
0.000 0.000 0.000
5.112 -6.236 7.477
0.482 -3.358 3.103
4.729 -2.939 4.467
```

Computed properties:
* VASP energy: -5.542 eV/atom



No. 5
Material: PmPAu2
Method: DFT, PBE
State: optimized geometry

Cell and atoms, written as POSCAR:
```
PmPAu2
1.0
5.137 0.000 0.000
0.000 4.037 0.000
0.000 0.000 4.037
Au Pm P
2 1 1
Cartesian
0.000 0.000 2.018
0.000 2.018 0.000
2.568 2.018 2.018
2.568 0.000 0.000
```

Computed properties:
* VASP energy: -4.775 eV/atom



No. 6
Material: Pm3PAu
Method: DFT, PBE
State: optimized geometry

Cell and atoms, written as POSCAR:
```
Pm3PAu
1.0
-1.716 4.215 -2.871
-0.589 -3.172 -4.306
-5.066 -1.059 1.473
Pm P Au
3 1 1
Cartesian
-0.858 2.108 -1.435
-0.295 -1.586 -2.153
-2.533 -0.529 0.737
0.000 0.000 0.000
-3.685 -0.008 -2.852
```

Computed properties:
* VASP energy: -5.067 eV/atom



No. 7
Material: PmPAu4
Method: DFT, PBE
State: optimized geometry

Cell and atoms, written as POSCAR:
```
PmPAu4
1.0
-1.407 -3.226 -4.335
3.873 -1.515 -3.726
1.743 -5.300 -0.218
Au Pm P
4 1 1
Cartesian
0.692 -5.519 -3.310
1.758 -3.623 -5.067
3.336 -4.662 -3.005
2.631 -6.277 -5.176
1.052 -2.510 -2.070
0.000 0.000 0.000
```

Computed properties:
* VASP energy: -4.160 eV/atom



No. 8
Material: PmPAu2
Method: DFT, PBE
State: optimized geometry

Cell and atoms, written as POSCAR:
```
PmPAu2
1.0
4.355 0.000 0.000
2.177 3.771 0.000
2.177 1.257 5.269
P Pm Au
1 1 2
Cartesian
0.000 0.000 0.000
4.355 2.514 2.634
2.177 1.257 0.907
6.532 3.771 4.362
```

Computed properties:
* VASP energy: -4.641 eV/atom



No. 9
Material: Pm2P3Au6
Method: DFT, PBE
State: optimized geometry

Cell and atoms, written as POSCAR:
```
Pm2P3Au6
1.0
3.826 0.000 0.000
0.000 7.159 -4.133
0.000 0.000 8.267
Pm P Au
2 3 6
Cartesian
0.000 2.386 4.133
0.000 4.773 0.000
1.913 3.491 2.016
1.913 0.000 4.236
1.913 3.668 -2.118
1.913 5.643 3.258
0.000 1.983 1.145
0.000 0.000 5.977
1.913 1.516 -0.875
0.000 5.176 -2.988
1.913 0.000 1.751
```

Computed properties:
* VASP energy: -4.576 eV/atom



No. 10
Material: Pm4PAu2
Method: DFT, PBE
State: optimized geometry

Cell and atoms, written as POSCAR:
```
Pm4PAu2
1.0
-4.649 -2.033 1.981
1.944 -5.050 -0.621
4.098 3.776 6.004
Au Pm P
2 4 1
Cartesian
-0.760 -3.491 2.121
2.154 0.184 5.243
0.972 -2.525 -0.311
0.336 -3.397 4.790
-2.324 -1.017 0.991
1.057 0.090 2.574
0.000 0.000 0.000
```

Computed properties:
* VASP energy: -5.070 eV/atom



No. 11
Material: PmP2Pt7Au2
Method: DFT, PBE
State: optimized geometry

Cell and atoms, written as POSCAR:
```
PmP2Pt7Au2
1.0
-1.125 -0.291 3.807
0.019 -3.969 -0.298
12.983 -2.350 5.723
Pt P Pm Au
7 2 1 2
Cartesian
-0.553 -2.130 1.754
1.649 -4.152 2.249
1.077 -2.312 4.302
4.977 -2.225 3.381
6.899 -4.385 5.851
10.227 -2.458 6.983
10.799 -4.298 4.930
9.002 -4.421 6.470
2.874 -2.189 2.762
0.000 0.000 0.000
7.547 -2.257 4.125
4.330 -4.353 5.107
```

Computed properties:
* VASP energy: -5.792 eV/atom



No. 12
Material: PmPuPAu
Method: DFT, PBE
State: optimized geometry

Cell and atoms, written as POSCAR:
```
PmPuPAu
1.0
5.082 0.000 0.000
2.541 4.401 0.000
2.541 1.467 4.149
Au Pm Pu P
1 1 1 1
Cartesian
0.000 0.000 0.000
2.541 1.467 1.037
7.623 4.401 3.112
5.082 2.934 2.075
```

Computed properties:
* VASP energy: -7.666 eV/atom